(1)
VASP calculation (PBE) on a relaxed NaTi2Tl2 crystal.

Results
Energy above the most stable polymorph in this dataset   0 meV/atom
DFT formation energy   0.156 eV/atom
Calculated volume   227 Å³ per cell

abc: 8.5876 8.5876 3.0783
angles: 90.00 90.00 90.00
Last column: nearest neighbours and their distance in Å.
Space group P4/mbm (No. 127)
Unique sites:
Na 0.0000 0.0000 0.0000 (multiplicity 2)  2 Na 3.08
Ti 0.1103 0.3897 0.0000 (multiplicity 4)  1 Ti 2.68, 2 Tl 2.93
Tl 0.1849 0.6849 0.5000 (multiplicity 4)  6 Ti 2.93-3.03, 2 Tl 3.08

---

(2)
VASP calculation (PBE) on a relaxed NaTiTl crystal.

Results
Energy above the most stable polymorph in this dataset   151 meV/atom
DFT formation energy   0.201 eV/atom
Calculated volume   290 Å³ per cell

abc: 3.3306 4.2619 20.4240
angles: 90.00 90.00 90.00
Last column: nearest neighbours and their distance in Å.
Space group Immm (No. 71)
Unique sites:
Na 0.0000 0.0000 0.1995 (multiplicity 4)  4 Tl 3.16, 6 Na 3.33-3.40
Ti 0.0000 0.5000 0.0000 (multiplicity 2)  4 Ti 2.70, 4 Tl 2.95
Ti 0.0000 0.5000 0.5000 (multiplicity 2)  4 Ti 2.70
Tl 0.0000 0.0000 0.3807 (multiplicity 4)  4 Ti 2.95-3.24, 4 Na 3.16

---

(3)
VASP calculation (PBE) on a relaxed NaTiTl crystal.

Results
Energy above the most stable polymorph in this dataset   126 meV/atom
DFT formation energy   0.175 eV/atom
Calculated volume   273 Å³ per cell

abc: 8.3882 3.0683 10.5999
angles: 90.00 90.00 90.00
Last column: nearest neighbours and their distance in Å.
Space group Pnma (No. 62)
Unique sites:
Na 0.1585 0.2500 0.0791 (multiplicity 4)  2 Na 3.07, 5 Tl 3.11-3.35, 3 Ti 3.35-3.42
Ti 0.0567 0.2500 0.3994 (multiplicity 4)  4 Ti 2.79-3.07, 4 Tl 3.05-3.12
Tl 0.1530 0.2500 0.7862 (multiplicity 4)  4 Ti 3.05-3.12, 2 Tl 3.07, 5 Na 3.11-3.35

---

(4)
VASP calculation (PBE) on a relaxed Na2TiTl crystal.

Results
Energy above the most stable polymorph in this dataset   2 meV/atom
DFT formation energy   0.581 eV/atom
Calculated volume   442 Å³ per cell

abc: 8.6601 8.6601 5.8947
angles: 90.00 90.00 90.00
Last column: nearest neighbours and their distance in Å.
Space group I-42d (No. 122)
Unique sites:
Na 0.2367 0.2500 0.1250 (multiplicity 8)  2 Na 2.96, 2 Tl 3.07, 2 Ti 3.23
Ti 0.0000 0.0000 0.5000 (multiplicity 4)  2 Tl 2.95, 4 Na 3.23
Tl 0.0000 0.0000 0.0000 (multiplicity 4)  2 Ti 2.95, 4 Na 3.07

---

(5)
VASP calculation (PBE) on a relaxed NaTi2Tl crystal.

Results
Energy above the most stable polymorph in this dataset   251 meV/atom
DFT formation energy   0.729 eV/atom
Calculated volume   349 Å³ per cell

abc: 7.9817 7.9817 5.4853
angles: 90.00 90.00 90.00
Last column: nearest neighbours and their distance in Å.
Space group I-42d (No. 122)
Unique sites:
Na 0.0000 0.0000 0.0000 (multiplicity 4)  2 Tl 2.74, 4 Ti 2.99
Ti 0.2352 0.7500 0.6250 (multiplicity 8)  2 Ti 2.75, 2 Tl 2.82, 2 Na 2.99
Tl 0.0000 0.0000 0.5000 (multiplicity 4)  2 Na 2.74, 4 Ti 2.82

---

(6)
VASP calculation (PBE) on a relaxed NaTiTl crystal.

Results
Energy above the most stable polymorph in this dataset   136 meV/atom
DFT formation energy   0.185 eV/atom
Calculated volume   280 Å³ per cell

abc: 5.0033 3.2073 17.4334
angles: 90.00 90.00 90.00
Last column: nearest neighbours and their distance in Å.
Space group Amm2 (No. 38)
Unique sites:
Na 0.0000 0.0000 0.0000 (multiplicity 2)  2 Tl 3.12, 6 Na 3.14-3.21
Na 0.5000 0.0000 0.4421 (multiplicity 2)  6 Na 3.14-3.21, 2 Tl 3.28, 2 Ti 3.37
Ti 0.5000 0.0000 0.1449 (multiplicity 2)  2 Ti 2.74, 4 Tl 2.98
Ti 0.5000 0.0000 0.7720 (multiplicity 2)  2 Ti 2.74
Tl 0.0000 0.0000 0.3202 (multiplicity 2)  4 Ti 3.09, 4 Tl 3.21-3.32, 2 Na 3.28
Tl 0.0000 0.0000 0.6536 (multiplicity 2)  6 Ti 2.98-3.24, 2 Na 3.12, 4 Tl 3.21-3.32